# K2ZnSe2

K2ZnSe2 after structural relaxation (GGA-PBEsol, the Alexandria database).

Cell lengths 7.6157, 7.6157, 7.6157 Å; angles 131.22, 131.22, 71.47 degrees
Fractional positions:
K 0.2500 0.7500 0.5000
K 0.7500 0.2500 0.5000
Zn 0.0000 0.0000 0.0000
Se 0.1801 0.1801 0.0000
Se 0.8199 0.8199 0.0000

E = -3.1566 eV/atom
SG = I4/mmm (139)
crystal system = tetragonal
total moment = 0.00 μB per cell
calculated volume = 48.9 A^3/atom

***

# Li2AlRe

Li2AlRe after structural relaxation (GGA-PBEsol, the Alexandria database).

Cell lengths 5.3600, 5.3600, 5.3600 Å; angles 102.21, 102.21, 125.24 degrees
Fractional positions:
Li 0.1137 0.1250 0.4887
Li 0.3750 0.8863 0.0113
Li 0.6363 0.6250 0.5113
Li 0.8750 0.3637 0.9887
Al 0.0000 0.0000 0.0000
Al 0.7500 0.2500 0.5000
Re 0.2500 0.7500 0.5000
Re 0.5000 0.5000 0.0000

SG = I-42d (122)
crystal system = tetragonal
formation energy from the elements = 0.723 eV/atom
total moment = 0.00 μB per cell
calculated volume = 14.0 A^3/atom

***

# CrAg2Os

CrAg2Os after structural relaxation (GGA-PBEsol, the Alexandria database).

Cell lengths 3.7024, 3.7024, 4.3076 Å; angles 90.00, 90.00, 90.00 degrees
Fractional positions:
Cr 0.0000 0.0000 0.0000
Ag 0.0000 0.5000 0.5000
Ag 0.5000 0.0000 0.5000
Os 0.5000 0.5000 0.0000

excess energy over the best structure of this formula in the dataset = 0.7 kJ per mole of atoms
SG = P4/mmm (123)
crystal system = tetragonal
formation energy from the elements = 0.660 eV/atom
total moment = 2.08 μB per cell
calculated volume = 14.8 A^3/atom

***

# CuTe2PPt

CuTe2PPt after structural relaxation (GGA-PBEsol, the Alexandria database).

Cell lengths 5.4979, 5.4979, 4.2709 Å; angles 90.00, 90.00, 90.00 degrees
Fractional positions:
Cu 0.0000 0.0000 0.0000
Te 0.0000 0.5000 0.5000
Te 0.5000 0.0000 0.5000
P 0.5000 0.5000 0.0000
Pt 0.5000 0.5000 0.5000

E = -4.1280 eV/atom
SG = P4/mmm (123)
crystal system = tetragonal
total moment = 0.00 μB per cell
calculated volume = 25.8 A^3/atom

***

# Mg2SbSe

Mg2SbSe after structural relaxation (GGA-PBEsol, the Alexandria database).

Cell lengths 6.2499, 6.2499, 6.2499 Å; angles 142.48, 142.48, 54.10 degrees
Fractional positions:
Mg 0.0000 0.0000 0.0000
Mg 0.7500 0.2500 0.5000
Sb 0.5000 0.5000 0.0000
Se 0.2500 0.7500 0.5000

excess energy over the best structure of this formula in the dataset = 36.5 kJ per mole of atoms
SG = I-4m2 (119)
crystal system = tetragonal
total moment = 0.00 μB per cell
calculated volume = 22.5 A^3/atom

***

# Rb3SbCl6

Rb3SbCl6 after structural relaxation (GGA-PBEsol, the Alexandria database).

Cell lengths 8.0009, 8.0009, 8.0009 Å; angles 60.00, 60.00, 60.00 degrees
Fractional positions:
Rb 0.0000 0.0000 0.0000
Rb 0.2500 0.2500 0.2500
Rb 0.7500 0.7500 0.7500
Sb 0.5000 0.5000 0.5000
Cl 0.2680 0.2680 0.7320
Cl 0.2680 0.7320 0.2680
Cl 0.2680 0.7320 0.7320
Cl 0.7320 0.2680 0.2680
Cl 0.7320 0.2680 0.7320
Cl 0.7320 0.7320 0.2680

E = -3.4476 eV/atom
SG = Fm-3m (225)
crystal system = cubic
total moment = 0.00 μB per cell
calculated volume = 36.2 A^3/atom

***

# RbPbSe2N

RbPbSe2N after structural relaxation (GGA-PBEsol, the Alexandria database).

Cell lengths 5.5395, 5.5395, 4.5912 Å; angles 90.00, 90.00, 90.00 degrees
Fractional positions:
Rb 0.0000 0.0000 0.0000
Pb 0.5000 0.5000 0.5000
Se 0.0000 0.5000 0.5000
Se 0.5000 0.0000 0.5000
N 0.5000 0.5000 0.0000

E = -3.8244 eV/atom
SG = P4/mmm (123)
crystal system = tetragonal
total moment = 2.16 μB per cell
calculated volume = 28.2 A^3/atom

***

# NaCd2BW

NaCd2BW after structural relaxation (GGA-PBEsol, the Alexandria database).

Cell lengths 5.3034, 5.3034, 4.1484 Å; angles 90.00, 90.00, 90.00 degrees
Fractional positions:
Na 0.0000 0.0000 0.0000
Cd 0.0000 0.5000 0.5000
Cd 0.5000 0.0000 0.5000
B 0.5000 0.5000 0.0000
W 0.5000 0.5000 0.5000

SG = P4/mmm (123)
crystal system = tetragonal
formation energy from the elements = 0.966 eV/atom
total moment = 0.00 μB per cell
calculated volume = 23.3 A^3/atom

***

# RbReAs2Se

RbReAs2Se after structural relaxation (GGA-PBEsol, the Alexandria database).

Cell lengths 5.3815, 5.3815, 5.3715 Å; angles 90.00, 90.00, 90.00 degrees
Fractional positions:
Rb 0.0000 0.0000 0.0000
Re 0.5000 0.5000 0.5000
As 0.0000 0.5000 0.0000
As 0.5000 0.0000 0.0000
Se 0.0000 0.0000 0.5000

E = -3.0113 eV/atom
SG = P4/mmm (123)
crystal system = tetragonal
total moment = 3.78 μB per cell
calculated volume = 31.1 A^3/atom

***

# CaCoF6

CaCoF6 after structural relaxation (GGA-PBEsol, the Alexandria database).

Cell lengths 5.4864, 5.4864, 5.4864 Å; angles 54.93, 54.93, 54.93 degrees
Fractional positions:
Ca 0.0000 0.0000 0.0000
Co 0.5000 0.5000 0.5000
F 0.1317 0.7057 0.4400
F 0.2943 0.5600 0.8683
F 0.4400 0.1317 0.7057
F 0.5600 0.8683 0.2943
F 0.7057 0.4400 0.1317
F 0.8683 0.2943 0.5600

E = -5.1749 eV/atom
SG = R-3 (148)
crystal system = trigonal
total moment = 1.00 μB per cell
calculated volume = 12.9 A^3/atom

***

# LaTc2Ni

LaTc2Ni after structural relaxation (GGA-PBEsol, the Alexandria database).

Cell lengths 3.1338, 4.3351, 4.8807 Å; angles 90.00, 90.00, 90.00 degrees
Fractional positions:
La 0.0000 0.0000 0.0000
Tc 0.0000 0.5000 0.5000
Tc 0.5000 0.0000 0.5000
Ni 0.5000 0.5000 0.0000

SG = Pmmm (47)
crystal system = orthorhombic
formation energy from the elements = 0.455 eV/atom
total moment = 0.00 μB per cell
calculated volume = 16.6 A^3/atom

***

# CaTePt2

CaTePt2 after structural relaxation (GGA-PBEsol, the Alexandria database).

Cell lengths 5.2048, 5.2048, 5.2048 Å; angles 132.38, 132.38, 69.63 degrees
Fractional positions:
Ca 0.0000 0.0000 0.0000
Te 0.5000 0.5000 0.0000
Pt 0.2500 0.7500 0.5000
Pt 0.7500 0.2500 0.5000

E = -5.3794 eV/atom
SG = I4/mmm (139)
crystal system = tetragonal
total moment = 0.00 μB per cell
calculated volume = 18.9 A^3/atom

***

# ZrSnRh

ZrSnRh after structural relaxation (GGA-PBEsol, the Alexandria database).

Cell lengths 7.3117, 7.3117, 7.1821 Å; angles 90.00, 90.00, 120.00 degrees
Fractional positions:
Zr 0.0182 0.4066 0.2500
Zr 0.3885 0.9818 0.2500
Zr 0.4066 0.0182 0.7500
Zr 0.5934 0.6115 0.2500
Zr 0.6115 0.5934 0.7500
Zr 0.9818 0.3885 0.7500
Sn 0.0000 0.7297 0.0000
Sn 0.0000 0.7297 0.5000
Sn 0.2703 0.2703 0.0000
Sn 0.2703 0.2703 0.5000
Sn 0.7297 0.0000 0.0000
Sn 0.7297 0.0000 0.5000
Rh 0.0000 0.0000 0.2500
Rh 0.0000 0.0000 0.7500
Rh 0.3333 0.6667 0.5360
Rh 0.3333 0.6667 0.9640
Rh 0.6667 0.3333 0.0360
Rh 0.6667 0.3333 0.4640

SG = P-62c (190)
crystal system = hexagonal
formation energy from the elements = -0.817 eV/atom
total moment = 0.00 μB per cell
calculated volume = 18.5 A^3/atom

***

# InHg3

InHg3 after structural relaxation (GGA-PBEsol, the Alexandria database).

Cell lengths 9.2643, 9.2643, 9.2643 Å; angles 150.63, 150.63, 42.02 degrees
Fractional positions:
In 0.1248 0.1248 0.0000
In 0.8752 0.8752 0.0000
Hg 0.0000 0.5000 0.5000
Hg 0.2500 0.7500 0.5000
Hg 0.3751 0.3751 0.0000
Hg 0.5000 0.0000 0.5000
Hg 0.6249 0.6249 0.0000
Hg 0.7500 0.2500 0.5000

SG = I4/mmm (139)
crystal system = tetragonal
formation energy from the elements = -0.023 eV/atom
total moment = 0.00 μB per cell
calculated volume = 23.9 A^3/atom

***

# Na2CuH20C12N12O18

Na2CuH20C12N12O18 after structural relaxation (GGA-PBEsol, the Alexandria database).

Cell lengths 6.7754, 10.2955, 10.3446 Å; angles 62.25, 71.37, 83.59 degrees
Fractional positions:
Na 0.2409 0.0957 0.4676
Na 0.7591 0.9043 0.5324
Cu 0.0000 0.5000 0.0000
H 0.0609 0.7945 0.6931
H 0.0648 0.1062 0.2304
H 0.1237 0.8757 0.1365
H 0.2363 0.4890 0.5006
H 0.2995 0.9332 0.8874
H 0.3131 0.3840 0.1041
H 0.3205 0.3404 0.9646
H 0.3345 0.7071 0.4729
H 0.4342 0.6832 0.8178
H 0.4349 0.4144 0.2579
H 0.5651 0.5856 0.7421
H 0.5658 0.3168 0.1822
H 0.6655 0.2929 0.5271
H 0.6795 0.6596 0.0354
H 0.6869 0.6160 0.8959
H 0.7005 0.0668 0.1126
H 0.7637 0.5110 0.4994
H 0.8763 0.1243 0.8635
H 0.9352 0.8938 0.7696
H 0.9391 0.2055 0.3069
C 0.0572 0.2992 0.6683
C 0.1033 0.7006 0.0869
C 0.1053 0.5065 0.7068
C 0.3198 0.1093 0.9365
C 0.4721 0.6869 0.2678
C 0.4834 0.1055 0.6942
C 0.5166 0.8945 0.3058
C 0.5279 0.3131 0.7322
C 0.6802 0.8907 0.0635
C 0.8947 0.4935 0.2932
C 0.8967 0.2994 0.9131
C 0.9428 0.7008 0.3317
N 0.0112 0.5666 0.1446
N 0.0644 0.7663 0.1813
N 0.1371 0.4376 0.6161
N 0.3613 0.0413 0.8439
N 0.4033 0.2455 0.8783
N 0.4312 0.7584 0.3571
N 0.5688 0.2416 0.6429
N 0.5967 0.7545 0.1217
N 0.6387 0.9587 0.1561
N 0.8629 0.5624 0.3839
N 0.9356 0.2337 0.8187
N 0.9888 0.4334 0.8554
O 0.0038 0.1097 0.3291
O 0.0925 0.2383 0.5855
O 0.1849 0.6324 0.6532
O 0.2032 0.0432 0.0729
O 0.2176 0.7647 0.9505
O 0.2642 0.4122 0.0115
O 0.3927 0.5592 0.3256
O 0.4233 0.3302 0.2383
O 0.4873 0.9545 0.3894
O 0.5127 0.0455 0.6106
O 0.5767 0.6698 0.7617
O 0.6073 0.4408 0.6744
O 0.7358 0.5878 0.9885
O 0.7824 0.2353 0.0495
O 0.7968 0.9568 0.9271
O 0.8151 0.3676 0.3468
O 0.9075 0.7617 0.4145
O 0.9962 0.8903 0.6709

E = -6.7851 eV/atom
SG = P-1 (2)
crystal system = triclinic
total moment = 1.00 μB per cell
calculated volume = 9.3 A^3/atom

***

# TaAu5

TaAu5 after structural relaxation (GGA-PBEsol, the Alexandria database).

Cell lengths 2.8241, 4.7728, 7.6749 Å; angles 90.00, 100.72, 90.00 degrees
Fractional positions:
Ta 0.0000 0.0000 0.0000
Au 0.1018 0.5000 0.2075
Au 0.3335 0.0000 0.6709
Au 0.4379 0.5000 0.8795
Au 0.6638 0.0000 0.3263
Au 0.7683 0.5000 0.5412

SG = Pm (6)
crystal system = monoclinic
formation energy from the elements = -0.003 eV/atom
total moment = 0.00 μB per cell
calculated volume = 16.9 A^3/atom

***

# TaAs5

TaAs5 after structural relaxation (GGA-PBEsol, the Alexandria database).

Cell lengths 4.7791, 7.3612, 7.3612 Å; angles 26.34, 90.00, 90.00 degrees
Fractional positions:
Ta 0.0000 0.0000 0.0000
As 0.0000 0.3555 0.3555
As 0.0000 0.6467 0.6467
As 0.5000 0.2790 0.2790
As 0.5000 0.5708 0.5708
As 0.5000 0.9174 0.9174

excess energy over the best structure of this formula in the dataset = 0.0 kJ per mole of atoms
SG = Amm2 (38)
crystal system = orthorhombic
formation energy from the elements = 0.079 eV/atom
total moment = 0.00 μB per cell
calculated volume = 19.2 A^3/atom

***

# Mg2FePt

Mg2FePt after structural relaxation (GGA-PBEsol, the Alexandria database).

Cell lengths 2.9203, 3.4258, 6.4878 Å; angles 90.00, 90.00, 90.00 degrees
Fractional positions:
Mg 0.0000 0.0000 0.0000
Mg 0.5000 0.5000 0.3250
Fe 0.5000 0.5000 0.7646
Pt 0.0000 0.0000 0.5616

SG = Pmm2 (25)
crystal system = orthorhombic
formation energy from the elements = -0.135 eV/atom
total moment = 2.92 μB per cell
calculated volume = 16.2 A^3/atom

***

# Be2PAu

Be2PAu after structural relaxation (GGA-PBEsol, the Alexandria database).

Cell lengths 3.0747, 3.0747, 5.0617 Å; angles 90.00, 90.00, 90.00 degrees
Fractional positions:
Be 0.0000 0.0000 0.2119
Be 0.0000 0.0000 0.7881
P 0.5000 0.5000 0.0000
Au 0.5000 0.5000 0.5000

SG = P4/mmm (123)
crystal system = tetragonal
formation energy from the elements = 0.098 eV/atom
total moment = 0.00 μB per cell
calculated volume = 12.0 A^3/atom

***

# Y2Ta2Cu

Y2Ta2Cu after structural relaxation (GGA-PBEsol, the Alexandria database).

Cell lengths 8.8493, 8.8493, 8.8493 Å; angles 155.81, 155.81, 34.47 degrees
Fractional positions:
Y 0.0969 0.0969 0.0000
Y 0.9031 0.9031 0.0000
Ta 0.2500 0.7500 0.5000
Ta 0.7500 0.2500 0.5000
Cu 0.5000 0.5000 0.0000

SG = I4/mmm (139)
crystal system = tetragonal
formation energy from the elements = 0.499 eV/atom
total moment = 0.00 μB per cell
calculated volume = 23.2 A^3/atom

***

# Ba3NiSb

Ba3NiSb after structural relaxation (GGA-PBEsol, the Alexandria database).

Cell lengths 6.4924, 6.4924, 6.4924 Å; angles 90.00, 90.00, 90.00 degrees
Fractional positions:
Ba 0.0000 0.0000 0.5000
Ba 0.0000 0.5000 0.0000
Ba 0.5000 0.0000 0.0000
Ni 0.5000 0.5000 0.5000
Sb 0.0000 0.0000 0.0000

E = -3.1388 eV/atom
SG = Pm-3m (221)
crystal system = cubic
total moment = 0.18 μB per cell
calculated volume = 54.7 A^3/atom

***

# ReAs2Au

ReAs2Au after structural relaxation (GGA-PBEsol, the Alexandria database).

Cell lengths 5.0071, 5.0071, 4.5205 Å; angles 101.02, 101.02, 37.26 degrees
Fractional positions:
Re 0.0000 0.0000 0.0000
As 0.2874 0.2874 0.8553
As 0.5279 0.5279 0.4352
Au 0.7782 0.7782 0.3487

excess energy over the best structure of this formula in the dataset = 0.0 kJ per mole of atoms
SG = Cm (8)
crystal system = monoclinic
formation energy from the elements = 0.367 eV/atom
total moment = 0.00 μB per cell
calculated volume = 16.8 A^3/atom

***

# BiTe2Se

BiTe2Se after structural relaxation (GGA-PBEsol, the Alexandria database).

Cell lengths 10.7242, 10.7242, 10.7242 Å; angles 18.75, 18.75, 18.75 degrees
Fractional positions:
Bi 0.0000 0.0000 0.0000
Te 0.0987 0.0987 0.0987
Te 0.9013 0.9013 0.9013
Se 0.5000 0.5000 0.5000

E = -3.5977 eV/atom
SG = R-3m (166)
crystal system = trigonal
total moment = 0.00 μB per cell
calculated volume = 27.8 A^3/atom

***

# MnBiO2

MnBiO2 after structural relaxation (GGA-PBEsol, the Alexandria database).

Cell lengths 5.9979, 5.9979, 5.9979 Å; angles 128.92, 128.92, 75.14 degrees
Fractional positions:
Mn 0.0000 0.0000 0.0000
Mn 0.7500 0.2500 0.5000
Bi 0.2500 0.7500 0.5000
Bi 0.5000 0.5000 0.0000
O 0.0467 0.6250 0.9217
O 0.3750 0.2967 0.4217
O 0.7033 0.1250 0.0783
O 0.8750 0.9533 0.5783

E = -6.9995 eV/atom
SG = I-42d (122)
crystal system = tetragonal
total moment = 8.40 μB per cell
calculated volume = 15.9 A^3/atom